Here is crystalline Cs2RbI2 at its relaxed geometry from the Alexandria database. Energies are from PBEsol.

Final energy   -2.44 eV/atom
Mass density   3.80 g cm⁻³
Total magnetic moment   0.089 μB/atom
Calculated volume   52.86 Å³/atom
Energy relative to the elements, uncorrected   -1.15 eV/atom

a = 10.124 Å, b = 10.124 Å, c = 5.157 Å
α = 90.00°, β = 90.00°, γ = 90.00°
Space group P4/mbm (No. 127)
One atom of each set of equivalent atoms:
Cs: 0.148 0.352 0.000 (multiplicity 4)
Rb: 0.000 0.000 0.500 (multiplicity 2)
I: 0.152 0.652 0.500 (multiplicity 4)